DFT (PBE) results for a relaxed KMoIrSe2 crystal.

Results
Density of states at the Fermi level ... 0.9503 states/eV/atom
Electronic total energy ... -25.01 eV per cell
V ... 26.45 Å³/atom

Geometry as POSCAR:
```
KMoIrSe2
1.0
-0.2776 -3.2152 -4.0661
4.5114 -1.6542 1.0000
-2.0255 -3.6809 3.0489
Mo Ir Se K
1 1 2 1
Cartesian
2.2557 -0.8271 0.5000
0.0000 0.0000 0.0000
-0.1388 -1.6076 -2.0330
-1.0128 -1.8404 1.5244
1.1041 -4.2751 -0.0086
```